Compound: CdIn2Os
Source: Alexandria
Functional: GGA-PBE
Structure: optimized geometry

## Properties
E_form = 0.457 eV per atom
DFT total energy = -3.948 eV per atom
SG = R3m (160)

Lattice parameters (Å, degrees): 10.307 10.307 10.307 17.11 17.11 17.11
Atoms (fractional coordinates):
Os 0.501 0.501 0.501
Cd 0.760 0.760 0.760
In 0.240 0.240 0.240
In 0.999 0.999 0.999